This record from Alexandria describes ThTl2I4Br2 after structural relaxation. The functional is PBE-GGA.

Calculated values
Total DFT energy (no corrections), eV/atom: -3.5207
Raw formation energy, kJ/mol of atoms: -107

Cell: 14.3071 8.5868 8.2433 Å, 90.00 123.16 90.00°
Last column: nearest neighbours and their distance in Å.
Space group C2/m (No. 12)
Symmetry-distinct sites (fractional):
Th: 0.0000 0.0000 0.0000 x2  2 Br 2.82, 4 I 3.10
Tl: 0.2397 0.0000 0.6961 x4  1 Br 3.44, 4 I 3.51-3.57
I: 0.0626 0.2523 0.3128 x8  1 Th 3.10
Br: 0.2216 0.0000 0.0953 x4  1 Th 2.82